Record 1
An optimized crystal structure of BeTlPt2O, computed with GGA-PBE.

```
5
Lattice="4.1219 0.0000 0.0000 0.0000 4.1219 0.0000 0.0000 0.0000 5.0089" Properties=species:S:1:pos:R:3 pbc="T T T"
Be 0.0000 0.0000 0.0000
Tl 0.0000 0.0000 2.5044
Pt 0.0000 2.0609 0.0000
Pt 2.0609 0.0000 0.0000
O 2.0609 2.0609 2.5044
```

Energy relative to the elements, uncorrected   566 meV per atom
ΔE to the lowest computed polymorph   0 meV/atom
Total magnetic moment   0.00 Bohr magnetons per cell
Space-group type   P4/mmm, No. 123

=====

Record 2
An optimized crystal structure of BeTlPt2O, computed with GGA-PBE.

```
5
Lattice="5.1255 0.0000 0.0000 0.0000 5.1255 0.0000 0.0000 0.0000 4.0629" Properties=species:S:1:pos:R:3 pbc="T T T"
Be 0.0000 0.0000 0.0000
Tl 2.5627 2.5627 2.0315
Pt 0.0000 2.5627 2.0315
Pt 2.5627 0.0000 2.0315
O 2.5627 2.5627 0.0000
```

Energy relative to the elements, uncorrected   1285 meV per atom
ΔE to the lowest computed polymorph   719 meV/atom
Total magnetic moment   0.00 Bohr magnetons per cell
Space-group type   P4/mmm, No. 123

=====

Record 3
An optimized crystal structure of BeZnPtO5, computed with GGA-PBE.

```
16
Lattice="3.0863 -4.2596 0.0000 3.0863 4.2596 0.0000 -2.9019 0.0000 6.3793" Properties=species:S:1:pos:R:3 pbc="T T T"
Be 0.9098 2.6088 4.7845
Be 2.3608 -2.6088 1.5948
Zn 2.3608 3.0312 1.5948
Zn 0.9098 -3.0312 4.7845
Pt 3.0863 0.0000 0.0000
Pt 1.6353 0.0000 3.1896
O -0.2058 0.5340 2.6935
O -0.2652 1.6506 5.3682
O -1.6567 -0.5340 5.8831
O 2.3608 0.8797 1.5948
O 2.0849 1.6506 4.2007
O 1.1857 -1.6506 2.1785
O 0.9098 -0.8797 4.7845
O 4.9273 0.5340 0.4961
O 3.5358 -1.6506 1.0111
O 3.4764 -0.5340 3.6858
```

Energy relative to the elements, uncorrected   -1031 meV per atom
Total magnetic moment   1.84 Bohr magnetons per cell
Space-group type   C2/c, No. 15

=====

Record 4
An optimized crystal structure of Zr2BePtO, computed with GGA-PBE.

```
5
Lattice="4.6353 0.0000 0.0000 0.0000 4.6353 0.0000 0.0000 0.0000 3.4012" Properties=species:S:1:pos:R:3 pbc="T T T"
Zr 0.0000 2.3176 0.0000
Zr 2.3176 0.0000 0.0000
Be 0.0000 0.0000 1.7006
Pt 2.3176 2.3176 1.7006
O 0.0000 0.0000 0.0000
```

Energy relative to the elements, uncorrected   -1255 meV per atom
Total magnetic moment   0.00 Bohr magnetons per cell
Space-group type   P4/mmm, No. 123

=====

Record 5
An optimized crystal structure of Pu3Be5O12, computed with GGA-PBE.

```
80
Lattice="-5.7808 5.7808 5.7808 5.7808 -5.7808 5.7808 5.7808 5.7808 -5.7808" Properties=species:S:1:pos:R:3 pbc="T T T"
Pu 2.8904 1.4452 0.0000
Pu 5.7808 2.8904 -1.4452
Pu 1.4452 0.0000 2.8904
Pu 7.2260 0.0000 2.8904
Pu 0.0000 2.8904 1.4452
Pu 2.8904 -1.4452 5.7808
Pu 2.8904 7.2260 0.0000
Pu 5.7808 2.8904 4.3356
Pu -1.4452 5.7808 2.8904
Pu 4.3356 5.7808 2.8904
Pu 0.0000 2.8904 7.2260
Pu 2.8904 4.3356 5.7808
Be 0.0000 0.0000 0.0000
Be 2.8904 2.8904 -2.8904
Be 2.8904 -2.8904 2.8904
Be 5.7808 0.0000 0.0000
Be 8.6713 1.4452 0.0000
Be 5.7808 -2.8904 4.3356
Be 4.3356 5.7808 -2.8904
Be 4.3356 0.0000 2.8904
Be 2.8904 4.3356 0.0000
Be 5.7808 2.8904 1.4452
Be -2.8904 2.8904 2.8904
Be 0.0000 5.7808 0.0000
Be 0.0000 0.0000 5.7808
Be 2.8904 2.8904 2.8904
Be 0.0000 2.8904 4.3356
Be 2.8904 1.4452 5.7808
Be 1.4452 5.7808 2.8904
Be 1.4452 0.0000 8.6713
Be 0.0000 8.6713 1.4452
Be -2.8904 4.3356 5.7808
O 1.7576 -0.3731 0.5972
O 6.9136 3.4876 -3.2635
O 7.5385 0.3731 0.5972
O 6.9136 -2.2932 3.2635
O 5.4077 -0.5972 1.7576
O 9.0443 -1.1328 2.2932
O 0.5972 1.7576 -0.3731
O 8.0740 2.5173 -1.1328
O 3.4876 3.2635 -1.1328
O 5.1836 1.7576 0.3731
O -0.3731 0.5972 1.7576
O 3.2635 -1.1328 3.4876
O 5.4077 5.1836 -1.7576
O 3.2635 1.1328 2.2932
O 3.4876 -3.2635 6.9136
O 5.1836 -1.7576 5.4077
O 2.2932 3.2635 1.1328
O 6.3781 4.0232 0.3731
O 3.2635 6.9136 -2.2932
O 5.4077 0.5972 4.0232
O 1.7576 5.4077 -0.5972
O 6.9136 2.2932 2.5173
O 1.1328 2.2932 3.2635
O 1.7576 0.3731 5.1836
O 4.0232 5.4077 0.5972
O 4.6480 3.4876 2.5173
O -1.1328 3.4876 3.2635
O 4.0232 0.3731 6.3781
O 0.3731 5.1836 1.7576
O 2.5173 -1.1328 8.0740
O -0.5972 1.7576 5.4077
O 3.4876 2.5173 4.6480
O 0.5972 7.5385 0.3731
O 2.2932 9.0443 -1.1328
O 2.5173 4.6480 3.4876
O 0.3731 0.5972 7.5385
O 2.5173 6.9136 2.2932
O 6.1539 5.1836 4.0232
O 0.5972 4.0232 5.4077
O 2.2932 2.5173 6.9136
O -2.2932 3.2635 6.9136
O 5.1836 4.0232 6.1539
O -3.2635 6.9136 3.4876
O 0.3731 6.3781 4.0232
O -1.1328 8.0740 2.5173
O -1.7576 5.4077 5.1836
O -1.1328 2.2932 9.0443
O 4.0232 6.1539 5.1836
```

Energy relative to the elements, uncorrected   -2566 meV per atom
Total magnetic moment   40.00 Bohr magnetons per cell
Space-group type   Ia-3d, No. 230

=====

Record 6
An optimized crystal structure of PuBeO5, computed with GGA-PBE.

```
14
Lattice="5.2971 -2.5873 0.0000 5.2971 2.5873 0.0000 -3.1269 0.0000 7.3133" Properties=species:S:1:pos:R:3 pbc="T T T"
Pu 0.0000 0.0000 0.0000
Pu -1.5634 0.0000 3.6566
Be 2.9519 0.0719 5.4850
Be 4.5154 -0.0719 1.8283
O 1.4269 0.5096 0.9543
O 4.5154 1.4542 1.8283
O 2.7999 0.9439 4.1838
O -0.1366 -0.5096 4.6109
O 3.1040 0.9439 6.7861
O 4.3633 -0.9439 0.5271
O 7.6038 0.5096 2.7023
O 4.6674 -0.9439 3.1295
O 2.9519 -1.4542 5.4850
O 6.0404 -0.5096 6.3590
```

Energy relative to the elements, uncorrected   -1976 meV per atom
Total magnetic moment   0.08 Bohr magnetons per cell
Space-group type   C2/c, No. 15

=====

Record 7
An optimized crystal structure of PuBeO4, computed with GGA-PBE.

```
6
Lattice="-2.8168 2.8168 2.4393 2.8168 -2.8168 2.4393 2.8168 2.8168 -2.4393" Properties=species:S:1:pos:R:3 pbc="T T T"
Pu 0.0000 0.0000 0.0000
Be 0.0000 2.8168 1.2196
O 3.8640 0.7907 -0.2412
O 0.7907 1.7695 0.2412
O 2.0260 1.0472 2.6805
O -1.0472 2.0260 2.1981
```

Energy relative to the elements, uncorrected   -2209 meV per atom
Total magnetic moment   2.00 Bohr magnetons per cell
Space-group type   I-4, No. 82

=====

Record 8
An optimized crystal structure of PuBe2O6, computed with GGA-PBE.

```
18
Lattice="5.0185 -4.4976 0.0000 5.0185 4.4976 0.0000 -1.8410 0.0000 5.0489" Properties=species:S:1:pos:R:3 pbc="T T T"
Pu 3.6377 2.4754 3.7867
Pu 4.5583 -2.4754 1.2622
Be 0.8761 0.6142 3.2264
Be 1.7966 -0.6142 0.7019
Be 6.3994 0.6142 4.3469
Be 7.3199 -0.6142 1.8225
O 0.9896 0.4598 1.5990
O 3.4181 2.5365 1.9337
O 0.0691 -0.4598 4.1234
O 2.2068 1.1242 3.9578
O 5.6984 2.5365 0.5907
O 3.1273 -1.1242 1.4333
O 5.0687 1.1242 3.6155
O 2.4976 -2.5365 4.4582
O 5.9892 -1.1242 1.0911
O 8.1269 0.4598 0.9255
O 4.7779 -2.5365 3.1151
O 7.2064 -0.4598 3.4499
```

Energy relative to the elements, uncorrected   -2091 meV per atom
Total magnetic moment   0.09 Bohr magnetons per cell
Space-group type   C2/c, No. 15

=====

Record 9
An optimized crystal structure of RbPu3Be4O12, computed with GGA-PBE.

```
20
Lattice="5.2556 3.0343 2.8936 -5.2556 3.0343 2.8936 0.0000 -6.0687 2.8936" Properties=species:S:1:pos:R:3 pbc="T T T"
Rb 0.0000 0.0000 0.0000
Pu -2.9190 -1.0129 2.8936
Pu 2.3367 -2.0214 2.8936
Pu 0.5823 3.0343 2.8936
Be -2.3142 -4.0083 4.3404
Be 0.0000 0.0000 4.3404
Be -2.3142 4.0083 4.3404
Be 4.6284 0.0000 4.3404
O -3.0665 -2.7178 3.9829
O -4.3028 0.0000 4.3404
O -0.8204 -4.0145 4.6978
O -1.5631 0.0000 4.3404
O -3.0665 2.7178 4.6978
O 2.1514 -3.7263 4.3404
O 0.7816 -1.3537 4.3404
O -0.8204 4.0145 3.9829
O 0.7816 1.3537 4.3404
O 3.8869 -1.2967 3.9829
O 2.1514 3.7263 4.3404
O 3.8869 1.2967 4.6978
```

Energy relative to the elements, uncorrected   -2560 meV per atom
Total magnetic moment   9.00 Bohr magnetons per cell
Space-group type   R32, No. 155

=====

Record 10
An optimized crystal structure of RbPuBeO5, computed with GGA-PBE.

```
16
Lattice="3.6283 -4.6462 0.0000 3.6283 4.6462 0.0000 -3.5108 0.0000 7.0310" Properties=species:S:1:pos:R:3 pbc="T T T"
Rb 0.9952 3.8307 5.2733
Rb 2.7506 -3.8307 1.7578
Pu 1.8141 2.3231 0.0000
Pu 0.0587 -2.3231 3.5155
Be 0.9952 0.5095 5.2733
Be 2.7506 -0.5095 1.7578
O 2.7506 2.8815 1.7578
O 1.7311 0.5117 0.8264
O -0.0326 1.5504 6.1728
O -0.0243 -0.5117 4.3419
O 2.0229 1.5504 4.3738
O 1.7228 -1.5504 2.6573
O 3.7700 0.5117 2.6892
O 3.7783 -1.5504 0.8583
O 2.0147 -0.5117 6.2047
O 0.9952 -2.8815 5.2733
```

Energy relative to the elements, uncorrected   -2171 meV per atom
Total magnetic moment   2.00 Bohr magnetons per cell
Space-group type   C2/c, No. 15

=====

Record 11
An optimized crystal structure of RbPu2BeO8, computed with GGA-PBE.

```
12
Lattice="4.9233 0.0000 0.0000 0.7454 5.1811 0.0000 0.6930 0.0497 8.3247" Properties=species:S:1:pos:R:3 pbc="T T T"
Rb 0.0000 0.0000 0.0000
Pu 2.8342 2.8446 2.5341
Pu 3.5274 2.3862 5.7906
Be 0.3465 0.0248 4.1624
O 1.6027 4.3769 3.0348
O 2.2565 3.7096 6.1741
O 2.2106 1.7863 4.0312
O 3.0020 1.4109 7.2812
O 3.3597 3.8199 1.0435
O 4.1511 3.4445 4.2935
O 4.1052 1.5212 2.1506
O 4.7590 0.8539 5.2899
```

Energy relative to the elements, uncorrected   -2107 meV per atom
Total magnetic moment   3.00 Bohr magnetons per cell
Space-group type   P-1, No. 2

=====

Record 12
An optimized crystal structure of RbPuBe2O6, computed with GGA-PBE.

```
20
Lattice="4.6913 -5.0508 0.0000 4.6913 5.0508 0.0000 -1.6885 0.0000 5.6038" Properties=species:S:1:pos:R:3 pbc="T T T"
Rb 3.4249 4.1714 4.2029
Rb 4.2692 -4.1714 1.4010
Pu 4.2692 1.9022 1.4010
Pu 3.4249 -1.9022 4.2029
Be 1.3184 0.7321 4.8315
Be 2.1626 -0.7321 2.0296
Be 5.5315 0.7321 3.5742
Be 6.3757 -0.7321 0.7723
O 2.9006 3.4251 1.3915
O 2.5827 1.7982 5.1355
O 2.7205 0.3860 0.9376
O 5.6378 3.4251 1.4104
O 1.8763 -0.3860 3.7395
O 4.2671 1.7982 3.2703
O 3.4270 -1.7982 2.3336
O 5.8178 0.3860 1.8643
O 2.0563 -3.4251 4.1935
O 4.9736 -0.3860 4.6662
O 5.1114 -1.7982 0.4683
O 4.7935 -3.4251 4.2123
```

Energy relative to the elements, uncorrected   -2242 meV per atom
Total magnetic moment   2.00 Bohr magnetons per cell
Space-group type   C2/c, No. 15

=====

Record 13
An optimized crystal structure of Rb4Pu3BeO8, computed with GGA-PBE.

```
16
Lattice="6.2710 -3.3822 0.0000 6.2710 3.3822 0.0000 -3.6935 0.0000 6.5674" Properties=species:S:1:pos:R:3 pbc="T T T"
Rb 0.0000 0.0000 0.0000
Rb 3.1355 1.6911 0.0000
Rb 3.1355 -1.6911 0.0000
Rb 6.2710 0.0000 0.0000
Pu -1.8467 0.0000 3.2837
Pu 1.2888 1.6911 3.2837
Pu 1.2888 -1.6911 3.2837
Be 4.4243 0.0000 3.2837
O 0.2546 0.0000 4.4852
O 1.8225 0.0000 1.9165
O 3.4900 1.4147 4.2103
O 5.3586 1.4147 2.3571
O 3.4900 -1.4147 4.2103
O 5.3586 -1.4147 2.3571
O 7.0261 0.0000 4.6509
O 8.5940 0.0000 2.0822
```

Energy relative to the elements, uncorrected   -2071 meV per atom
Total magnetic moment   4.33 Bohr magnetons per cell
Space-group type   C2/m, No. 12

=====

Record 14
An optimized crystal structure of RbPuBeO6, computed with GGA-PBE.

```
9
Lattice="5.1111 0.0000 0.0000 2.4969 4.8451 0.0000 0.3936 0.0399 6.1908" Properties=species:S:1:pos:R:3 pbc="T T T"
Rb 0.0000 0.0000 0.0000
Pu 2.7033 2.1116 3.0918
Be 5.3418 4.2190 3.0522
O 1.8032 2.2781 4.6792
O 1.8531 0.3563 2.2070
O 4.1269 3.5747 3.8543
O 3.6283 2.2109 1.5167
O 3.6907 0.6097 3.8841
O 6.4469 3.3221 2.3006
```

Energy relative to the elements, uncorrected   -1867 meV per atom
Total magnetic moment   1.05 Bohr magnetons per cell
Space-group type   P1, No. 1

=====

Record 15
An optimized crystal structure of Rb3PuBe2O6, computed with GGA-PBE.

```
12
Lattice="5.7446 0.0000 0.0000 -2.8723 4.9750 0.0000 0.0000 0.0000 7.2415" Properties=species:S:1:pos:R:3 pbc="T T T"
Rb 0.0000 0.0000 0.0000
Rb 0.0000 3.3167 5.4191
Rb 2.8723 1.6583 1.8223
Pu 0.0000 0.0000 3.6207
Be 0.0000 3.3167 2.3544
Be 2.8723 1.6583 4.8871
O 0.0000 1.7547 2.3416
O -1.3527 4.0977 2.3416
O 1.5196 0.8773 4.8999
O 1.3527 4.0977 2.3416
O 4.2251 0.8773 4.8999
O 2.8723 3.2203 4.8999
```

Energy relative to the elements, uncorrected   -2233 meV per atom
Total magnetic moment   3.00 Bohr magnetons per cell
Space-group type   P-3m1, No. 164

=====

Record 16
An optimized crystal structure of PuBeRhO6, computed with GGA-PBE.

```
18
Lattice="4.9883 0.0000 0.0000 -2.4942 4.3200 0.0000 0.0000 0.0000 8.8011" Properties=species:S:1:pos:R:3 pbc="T T T"
Pu 0.0000 2.8800 2.2003
Pu 2.4942 1.4400 6.6008
Be 0.0000 2.8800 6.6008
Be 2.4942 1.4400 2.2003
Rh 0.0000 0.0000 0.0000
Rh 0.0000 0.0000 4.4006
O -0.7542 1.5076 5.5533
O -1.5657 2.9131 7.6484
O 0.7542 1.5076 7.6484
O -0.8115 4.2194 5.5533
O 1.6827 0.1007 1.1527
O 0.9285 1.4069 3.2478
O 1.5657 2.9131 5.5533
O 0.8115 4.2194 7.6484
O 3.3057 0.1007 3.2478
O 1.7400 2.8125 1.1527
O 4.0598 1.4069 1.1527
O 3.2483 2.8125 3.2478
```

Energy relative to the elements, uncorrected   -1720 meV per atom
Total magnetic moment   1.94 Bohr magnetons per cell
Space-group type   P-31c, No. 163

=====

Record 17
An optimized crystal structure of PuBeSbO6, computed with GGA-PBE.

```
18
Lattice="4.9762 0.0000 0.0000 -2.4881 4.3096 0.0000 0.0000 0.0000 9.5099" Properties=species:S:1:pos:R:3 pbc="T T T"
Pu 0.0000 0.0000 0.0000
Pu 0.0000 0.0000 4.7549
Be 0.0000 2.8730 2.3775
Be 2.4881 1.4365 7.1324
Sb 0.0000 2.8730 7.1324
Sb 2.4881 1.4365 2.3775
O -0.8018 1.5481 1.3022
O -1.5484 2.8412 3.4528
O 0.8018 1.5481 3.4528
O -0.7466 4.2299 1.3022
O 1.7415 0.0797 6.0571
O 0.9398 1.4684 8.2077
O 1.5484 2.8412 1.3022
O 0.7466 4.2299 3.4528
O 3.2347 0.0797 8.2077
O 1.6863 2.7615 6.0571
O 4.0365 1.4684 6.0571
O 3.2899 2.7615 8.2077
```

Energy relative to the elements, uncorrected   -2045 meV per atom
Total magnetic moment   6.00 Bohr magnetons per cell
Space-group type   P-31c, No. 163